# Mg2InMoO (GGA+U, optimized geometry)
# DOS at the Fermi energy ... 0.62 states/eV/atom
# Space group ... P4/mmm, No. 123
# E ... -3.50 eV per atom
data_Mg2InMoO
_chemical_formula_sum 'Mg2 In1 Mo1 O1'
_cell_length_a 5.600
_cell_length_b 3.834
_cell_length_c 5.600
_cell_angle_alpha 90.00
_cell_angle_beta 90.00
_cell_angle_gamma 90.00
_space_group_name_H-M_alt 'P 1'
_space_group_IT_number 1
loop_
_space_group_symop_operation_xyz
'x,y,z'
loop_
_atom_site_label
_atom_site_type_symbol
_atom_site_fract_x
_atom_site_fract_y
_atom_site_fract_z
Mo1 Mo 0.000 0.000 0.000
Mg1 Mg 0.000 0.000 0.500
Mg2 Mg 0.500 0.000 0.000
O1 O 0.000 0.500 0.000
In1 In 0.500 0.500 0.500